The following is a PBE calculation of a geometry-optimized KLiN2 structure, from Alexandria via LeMat-Bulk.

Cell: 5.4094 5.4094 5.4094 Å, 38.26 38.26 38.26°
Positions (direct):
K 0.0000 0.0000 0.0000
Li 0.5000 0.5000 0.5000
N 0.1828 0.1828 0.1828
N 0.8172 0.8172 0.8172

Summary:
Size of the total moment (μB/atom): 0.0000
Raw formation energy (eV/atom): 0.901
SG: No. 166
Energy relative to the lowest polymorph listed for this composition (meV/atom): 44